Record 1
A plane-wave DFT calculation with PBE was carried out for crystalline Al2P at its relaxed geometry.

a b c (Å): 5.2149 6.0851 3.5975
angles (deg): 90.00 90.00 90.00
Sites, in units of the cell vectors:
1 Al 0.2007 0.1265 0.0000
2 Al 0.2993 0.6265 0.5000
3 Al 0.7007 0.3735 0.5000
4 Al 0.7993 0.8735 0.0000
5 P 0.0000 0.5000 0.0000
6 P 0.5000 0.0000 0.5000

## Properties
DFT total energy   -4.2881 eV per atom
DFT formation energy   0.031 eV/f.u.
Fermi-level density of states   0.443 states/eV/atom
Space-group type   Pnnm


Record 2
A plane-wave DFT calculation with PBE was carried out for crystalline AlP at its relaxed geometry.

a b c (Å): 3.5419 3.5419 3.0998
angles (deg): 90.00 90.00 120.00
Sites, in units of the cell vectors:
1 Al 0.0000 0.0000 0.0000
2 P 0.6667 0.3333 0.5000

## Properties
DFT total energy   -4.7001 eV per atom
DFT formation energy   -0.248 eV/f.u.
Fermi-level density of states   0.442 states/eV/atom
Space-group type   P-6m2


Record 3
A plane-wave DFT calculation with PBE was carried out for crystalline Al2P3 at its relaxed geometry.

a b c (Å): 3.4584 3.4584 7.8462
angles (deg): 90.00 90.00 120.00
Sites, in units of the cell vectors:
1 Al 0.3333 0.6667 0.3127
2 Al 0.6667 0.3333 0.6873
3 P 0.0000 0.0000 0.5000
4 P 0.3333 0.6667 0.8993
5 P 0.6667 0.3333 0.1007

## Properties
DFT total energy   -4.7696 eV per atom
DFT formation energy   -0.133 eV/f.u.
Fermi-level density of states   0.297 states/eV/atom
Space-group type   P-3m1


Record 4
A plane-wave DFT calculation with PBE was carried out for crystalline Al2P3 at its relaxed geometry.

a b c (Å): 7.6464 7.6464 7.6464
angles (deg): 27.13 27.13 27.13
Sites, in units of the cell vectors:
1 Al 0.1033 0.1033 0.1033
2 Al 0.8967 0.8967 0.8967
3 P 0.3037 0.3037 0.3037
4 P 0.5000 0.5000 0.5000
5 P 0.6963 0.6963 0.6963

## Properties
DFT total energy   -4.8523 eV per atom
DFT formation energy   -0.547 eV/f.u.
Fermi-level density of states   0.304 states/eV/atom
Space-group type   R-3m